# 1
LuAg2Pt: optimized geometry, PBE.

The value obtained for the final energy is -16.97 eV per cell. The value obtained for the density is 9.7 g/cm³. The value obtained for the calculated formation energy is -185 meV per atom.

Structure (CIF):
```
data_LuAg2Pt
_symmetry_space_group_name_H-M 'P 1'
_symmetry_Int_Tables_number 1
_cell_length_a 5.2127
_cell_length_b 5.2127
_cell_length_c 5.2127
_cell_angle_alpha 60.00
_cell_angle_beta 60.00
_cell_angle_gamma 60.00
loop_
_symmetry_equiv_pos_as_xyz
'x,y,z'
loop_
_atom_site_label
_atom_site_type_symbol
_atom_site_fract_x
_atom_site_fract_y
_atom_site_fract_z
_atom_site_occupancy
Ag1 Ag 0.0000 0.0000 0.0000 1
Ag2 Ag 0.2500 0.2500 0.2500 1
Lu1 Lu 0.5000 0.5000 0.5000 1
Pt1 Pt 0.7500 0.7500 0.7500 1
```


# 2
LuPuAg: optimized geometry, PBE.

The value obtained for the final energy is -20.71 eV per cell. The value obtained for the density is 10.6 g/cm³. As for the energy above the most stable polymorph in this dataset: 0 meV per atom. The value obtained for the calculated formation energy is 254 meV per atom.

Structure (CIF):
```
data_LuPuAg
_symmetry_space_group_name_H-M 'P 1'
_symmetry_Int_Tables_number 1
_cell_length_a 4.8800
_cell_length_b 4.8800
_cell_length_c 4.8800
_cell_angle_alpha 60.00
_cell_angle_beta 60.00
_cell_angle_gamma 60.00
loop_
_symmetry_equiv_pos_as_xyz
'x,y,z'
loop_
_atom_site_label
_atom_site_type_symbol
_atom_site_fract_x
_atom_site_fract_y
_atom_site_fract_z
_atom_site_occupancy
Ag1 Ag 0.0000 0.0000 0.0000 1
Lu1 Lu 0.2500 0.2500 0.2500 1
Pu1 Pu 0.7500 0.7500 0.7500 1
```


# 3
RbLuAg: optimized geometry, PBE.

The value obtained for the final energy is -5.93 eV per cell. The value obtained for the density is 5.7 g/cm³. As for the energy above the most stable polymorph in this dataset: 0 meV per atom.

Structure (CIF):
```
data_RbLuAg
_symmetry_space_group_name_H-M 'P 1'
_symmetry_Int_Tables_number 1
_cell_length_a 5.3183
_cell_length_b 5.3183
_cell_length_c 5.3183
_cell_angle_alpha 60.00
_cell_angle_beta 60.00
_cell_angle_gamma 60.00
loop_
_symmetry_equiv_pos_as_xyz
'x,y,z'
loop_
_atom_site_label
_atom_site_type_symbol
_atom_site_fract_x
_atom_site_fract_y
_atom_site_fract_z
_atom_site_occupancy
Ag1 Ag 0.2500 0.2500 0.2500 1
Lu1 Lu 0.0000 0.0000 0.0000 1
Rb1 Rb 0.7500 0.7500 0.7500 1
```


# 4
RbLuAg: optimized geometry, PBE.

The value obtained for the final energy is -5.00 eV per cell. The value obtained for the density is 5.2 g/cm³. As for the energy above the most stable polymorph in this dataset: 313 meV per atom.

Structure (CIF):
```
data_RbLuAg
_symmetry_space_group_name_H-M 'P 1'
_symmetry_Int_Tables_number 1
_cell_length_a 5.4880
_cell_length_b 5.4880
_cell_length_c 5.4880
_cell_angle_alpha 60.00
_cell_angle_beta 60.00
_cell_angle_gamma 60.00
loop_
_symmetry_equiv_pos_as_xyz
'x,y,z'
loop_
_atom_site_label
_atom_site_type_symbol
_atom_site_fract_x
_atom_site_fract_y
_atom_site_fract_z
_atom_site_occupancy
Ag1 Ag 0.2500 0.2500 0.2500 1
Lu1 Lu 0.7500 0.7500 0.7500 1
Rb1 Rb 0.0000 0.0000 0.0000 1
```


# 5
RbLuAgTe3: optimized geometry, PBE.

The value obtained for the final energy is -46.09 eV per cell. The value obtained for the density is 6.1 g/cm³.

Structure (CIF):
```
data_RbLuAgTe3
_symmetry_space_group_name_H-M 'P 1'
_symmetry_Int_Tables_number 1
_cell_length_a 8.7718
_cell_length_b 8.7718
_cell_length_c 11.2894
_cell_angle_alpha 90.00
_cell_angle_beta 90.00
_cell_angle_gamma 152.10
loop_
_symmetry_equiv_pos_as_xyz
'x,y,z'
loop_
_atom_site_label
_atom_site_type_symbol
_atom_site_fract_x
_atom_site_fract_y
_atom_site_fract_z
_atom_site_occupancy
Ag1 Ag 0.4632 0.5368 0.2500 1
Ag2 Ag 0.5368 0.4632 0.7500 1
Lu1 Lu 0.0000 0.0000 0.0000 1
Lu2 Lu 0.0000 0.0000 0.5000 1
Rb1 Rb 0.7557 0.2443 0.2500 1
Rb2 Rb 0.2443 0.7557 0.7500 1
Te1 Te 0.3750 0.6250 0.0426 1
Te2 Te 0.0729 0.9271 0.2500 1
Te3 Te 0.3750 0.6250 0.4574 1
Te4 Te 0.6250 0.3750 0.5426 1
Te5 Te 0.9271 0.0729 0.7500 1
Te6 Te 0.6250 0.3750 0.9574 1
```


# 6
RbLuAgTe3: optimized geometry, PBE.

The value obtained for the final energy is -92.35 eV per cell. The value obtained for the density is 6.0 g/cm³.

Structure (CIF):
```
data_RbLuAgTe3
_symmetry_space_group_name_H-M 'P 1'
_symmetry_Int_Tables_number 1
_cell_length_a 17.0513
_cell_length_b 4.2778
_cell_length_c 11.4371
_cell_angle_alpha 90.00
_cell_angle_beta 90.00
_cell_angle_gamma 90.00
loop_
_symmetry_equiv_pos_as_xyz
'x,y,z'
loop_
_atom_site_label
_atom_site_type_symbol
_atom_site_fract_x
_atom_site_fract_y
_atom_site_fract_z
_atom_site_occupancy
Ag1 Ag 0.0165 0.2500 0.0923 1
Ag2 Ag 0.5165 0.2500 0.4077 1
Ag3 Ag 0.4835 0.7500 0.5923 1
Ag4 Ag 0.9835 0.7500 0.9077 1
Lu1 Lu 0.5200 0.7500 0.1593 1
Lu2 Lu 0.0200 0.7500 0.3407 1
Lu3 Lu 0.9800 0.2500 0.6593 1
Lu4 Lu 0.4800 0.2500 0.8407 1
Rb1 Rb 0.2314 0.7500 0.0419 1
Rb2 Rb 0.7314 0.7500 0.4581 1
Rb3 Rb 0.2686 0.2500 0.5419 1
Rb4 Rb 0.7686 0.2500 0.9581 1
Te1 Te 0.4042 0.2500 0.0792 1
Te2 Te 0.9092 0.7500 0.1328 1
Te3 Te 0.6338 0.2500 0.2345 1
Te4 Te 0.1338 0.2500 0.2655 1
Te5 Te 0.4092 0.7500 0.3672 1
Te6 Te 0.9042 0.2500 0.4208 1
Te7 Te 0.0958 0.7500 0.5792 1
Te8 Te 0.5908 0.2500 0.6328 1
Te9 Te 0.8662 0.7500 0.7345 1
Te10 Te 0.3662 0.7500 0.7655 1
Te11 Te 0.0908 0.2500 0.8672 1
Te12 Te 0.5958 0.7500 0.9208 1
```